# 1
VASP calculation (PBE) on a relaxed structure of KAgSnSe3.

```
48
Lattice="8.4219 0.0000 0.0000 0.0000 8.4219 0.0000 0.0000 0.0000 20.5596" Properties=species:S:1:pos:R:3 pbc="T T T"
K 0.0000 0.0000 0.0000
K 0.0000 0.0000 3.9813
K 0.0000 0.0000 10.2798
K 0.0000 0.0000 14.2610
K 4.2110 4.2110 0.9217
K 4.2110 4.2110 6.8734
K 4.2110 4.2110 11.2015
K 4.2110 4.2110 17.1531
Ag 0.0754 2.6892 7.1512
Ag 0.0754 5.7327 17.4310
Ag 2.6892 0.0754 17.4310
Ag 2.6892 8.3466 7.1512
Ag 5.7327 0.0754 7.1512
Ag 5.7327 8.3466 17.4310
Ag 8.3466 2.6892 17.4310
Ag 8.3466 5.7327 7.1512
Sn 0.0000 4.2110 0.2385
Sn 0.0000 4.2110 3.8316
Sn 0.0000 4.2110 10.5183
Sn 0.0000 4.2110 14.1114
Sn 4.2110 0.0000 0.2385
Sn 4.2110 0.0000 3.8316
Sn 4.2110 0.0000 10.5183
Sn 4.2110 0.0000 14.1114
Se 1.3012 2.7958 2.0303
Se 1.3012 5.6261 12.3101
Se 1.5401 2.7096 15.4963
Se 1.5401 5.7123 5.2165
Se 1.6160 2.7691 9.1483
Se 1.6160 5.6528 19.4281
Se 2.7096 1.5401 5.2165
Se 2.7096 6.8819 15.4963
Se 2.7691 1.6160 19.4281
Se 2.7691 6.8059 9.1483
Se 2.7958 1.3012 12.3101
Se 2.7958 7.1207 2.0303
Se 5.6261 1.3012 2.0303
Se 5.6261 7.1207 12.3101
Se 5.6528 1.6160 9.1483
Se 5.6528 6.8059 19.4281
Se 5.7123 1.5401 15.4963
Se 5.7123 6.8819 5.2165
Se 6.8059 2.7691 19.4281
Se 6.8059 5.6528 9.1483
Se 6.8819 2.7096 5.2165
Se 6.8819 5.7123 15.4963
Se 7.1207 2.7958 12.3101
Se 7.1207 5.6261 2.0303
```

Properties
**Total energy**: -3.66 eV per atom
**SG**: P4cc, No. 103
**Uncorrected formation energy**: -0.5921 eV/atom
**V**: 30.381 A^3/atom



# 2
VASP calculation (PBE) on a relaxed structure of ZrBeAg.

```
6
Lattice="1.6662 -7.8282 0.0000 1.6662 7.8282 0.0000 0.0000 0.0000 3.7539" Properties=species:S:1:pos:R:3 pbc="T T T"
Zr 1.6662 6.3064 2.8154
Zr 1.6662 -6.3064 0.9385
Be 1.6662 0.5528 2.8154
Be 1.6662 -0.5528 0.9385
Ag 1.6662 3.1721 2.8154
Ag 1.6662 -3.1721 0.9385
```

Properties
**Total energy**: -5.21 eV per atom
**Formation energy**: -0.168 eV per atom
**SG**: Cmcm, No. 63
**Density of states at the Fermi level**: 1.84 states/eV/f.u.
**V**: 16.321 A^3/atom



# 3
VASP calculation (PBE) on a relaxed structure of Nd3Cu2Pd7.

```
12
Lattice="2.7395 1.5817 8.6548 -2.7395 1.5817 8.6548 0.0000 -3.1633 8.6548" Properties=species:S:1:pos:R:3 pbc="T T T"
Nd 0.0000 0.0000 0.0000
Nd 0.0000 0.0000 3.5998
Nd 0.0000 0.0000 22.3645
Cu 0.0000 0.0000 8.6613
Cu 0.0000 0.0000 17.3030
Pd -1.3805 -0.7970 10.7397
Pd 0.0000 -1.5940 15.2246
Pd -1.3805 0.7970 15.2246
Pd 0.0000 0.0000 12.9822
Pd 1.3805 -0.7970 10.7397
Pd 0.0000 1.5940 10.7397
Pd 1.3805 0.7970 15.2246
```

Properties
**Total energy**: -5.54 eV per atom
**Formation energy**: -0.638 eV per atom
**SG**: R-3m, No. 166
**Density of states at the Fermi level**: 4.75 states/eV/f.u.
**V**: 18.751 A^3/atom



# 4
VASP calculation (PBE) on a relaxed structure of Sr2TiF2.

```
5
Lattice="-2.8516 2.8516 4.1588 2.8516 -2.8516 4.1588 2.8516 2.8516 -4.1588" Properties=species:S:1:pos:R:3 pbc="T T T"
Sr 2.8516 0.0000 2.0794
Sr 0.0000 2.8516 2.0794
Ti 0.0000 0.0000 0.0000
F 0.0000 0.0000 1.9559
F 0.0000 0.0000 6.3618
```

Properties
**Total energy**: -4.60 eV per atom
**SG**: I4/mmm, No. 139
**Uncorrected formation energy**: -1.5973 eV/atom
**Density of states at the Fermi level**: 4.81 states/eV/f.u.
**V**: 27.053 A^3/atom



Among the records above, which one has the highest total energy?
KAgSnSe3



Which of these has the highest total energy?
KAgSnSe3